! TiNbSn2 PBE relaxed; values from VASP
&SYSTEM
  ibrav = 0, nat = 4, ntyp = 3
/
ATOMIC_SPECIES
Ti 47.87 Ti.upf
Nb 92.91 Nb.upf
Sn 118.71 Sn.upf
CELL_PARAMETERS angstrom
0.000 3.410 3.410
3.410 0.000 3.410
3.410 3.410 0.000
ATOMIC_POSITIONS crystal
Ti 0.000 0.000 0.000
Nb 0.500 0.500 0.500
Sn 0.250 0.250 0.250
Sn 0.750 0.750 0.750
! * total magnetic moment: 0.0 μB/f.u.
! * crystal system: cubic
! * energy relative to the elements: 1.8 kJ/mol of atoms
! * polymorph energy (0 for the lowest one): 0.0693 eV per atom